Nb4Tc2Ru, optimized geometry, DFT PBE; formation energy from the elements = -0.01 eV/atom; E_tot = -70.38 eV per cell; crystal system = tetragonal
1.0
-1.474 5.172 0.924
-0.708 -1.197 -5.277
-3.072 -3.351 3.018
Nb Tc Ru
4 2 1
Direct
0.500 0.000 0.000
0.500 0.500 0.500
0.000 0.000 0.500
0.000 0.500 0.000
0.500 0.500 0.000
0.500 0.000 0.500
0.000 0.000 0.000

Nb6TcRu, optimized geometry, DFT PBE; formation energy from the elements = -0.17 eV/atom; E_tot = -81.44 eV per cell; excess energy over the best structure of this formula in the dataset = 0.039 eV/atom; crystal system = trigonal
1.0
7.326 0.012 0.026
3.660 6.351 0.018
3.646 2.116 3.003
Nb Tc Ru
6 1 1
Direct
0.000 0.500 0.750
0.750 0.000 0.750
0.500 0.250 0.249
0.250 0.000 0.250
0.000 0.500 0.250
0.500 0.750 0.751
0.500 0.500 0.500
0.000 0.000 0.000

Nb2Tc2Ru, optimized geometry, DFT PBE; formation energy from the elements = 0.23 eV/atom; E_tot = -97.98 eV per cell; crystal system = tetragonal
1.0
7.187 0.000 0.000
0.000 7.187 0.000
0.000 0.000 3.207
Ru Nb Tc
2 4 4
Direct
0.000 0.000 0.000
0.500 0.500 0.000
0.182 0.682 0.500
0.682 0.818 0.500
0.818 0.318 0.500
0.318 0.182 0.500
0.374 0.874 0.000
0.874 0.626 0.000
0.626 0.126 0.000
0.126 0.374 0.000

Nb3TcRu2, optimized geometry, DFT PBE; formation energy from the elements = -0.24 eV/atom; E_tot = -60.56 eV per cell; crystal system = tetragonal
1.0
3.207 0.000 0.000
0.000 3.207 0.000
0.000 0.000 9.433
Nb Tc Ru
3 1 2
Direct
0.000 0.000 0.000
0.000 0.000 0.665
0.000 0.000 0.335
0.500 0.500 0.500
0.500 0.500 0.837
0.500 0.500 0.163

Nb6TcRu, optimized geometry, DFT PBE; formation energy from the elements = -0.21 eV/atom; E_tot = -81.75 eV per cell; excess energy over the best structure of this formula in the dataset = 0.000 eV/atom; crystal system = tetragonal
1.0
-2.482 -2.263 3.102
3.777 -0.774 2.458
-0.346 4.081 6.069
Nb Tc Ru
6 1 1
Direct
0.750 0.750 0.501
0.621 0.121 0.757
0.121 0.621 0.757
0.379 0.879 0.243
0.250 0.250 0.499
0.879 0.379 0.243
0.500 0.500 0.000
0.000 0.000 0.000

NbTc2Ru, optimized geometry, DFT PBE; formation energy from the elements = 0.14 eV/atom; E_tot = -39.50 eV per cell; excess energy over the best structure of this formula in the dataset = 0.000 eV/atom; crystal system = cubic
1.0
-0.279 -3.502 2.713
-3.962 -1.763 0.947
-1.102 -3.982 -1.622
Ru Nb Tc
1 1 2
Direct
0.500 0.500 0.500
0.000 0.000 0.000
0.250 0.250 0.250
0.750 0.750 0.750

NbTc2Ru2, optimized geometry, DFT PBE; formation energy from the elements = 0.05 eV/atom; E_tot = -98.20 eV per cell; crystal system = tetragonal
1.0
7.490 0.000 0.000
0.000 7.490 0.000
0.000 0.000 2.760
Ru Nb Tc
4 2 4
Direct
0.376 0.876 0.000
0.876 0.624 0.000
0.624 0.124 0.000
0.124 0.376 0.000
0.000 0.000 0.000
0.500 0.500 0.000
0.171 0.671 0.500
0.671 0.829 0.500
0.829 0.329 0.500
0.329 0.171 0.500

NbTc2Ru, optimized geometry, DFT PBE; formation energy from the elements = 0.59 eV/atom; E_tot = -75.44 eV per cell; excess energy over the best structure of this formula in the dataset = 0.445 eV/atom; crystal system = tetragonal
1.0
-5.210 4.838 1.018
-4.937 -5.014 -1.443
-5.167 -0.713 2.280
Ru Nb Tc
2 2 4
Direct
0.000 0.000 0.000
0.750 0.250 0.500
0.500 0.500 0.000
0.250 0.750 0.500
0.640 0.125 0.250
0.110 0.625 0.250
0.375 0.360 0.750
0.875 0.890 0.750

Fermi-level density of states (states/eV/atom)
0.687 0.844 1.118 1.021 0.564 1.612 1.340 1.250
Magnetization (μB per cell)
0.0 0.0 0.0 0.0 0.0 1.7 0.0 0.0